No. 1
The following is a PBE calculation of an optimized crystal structure of Pa2PO, from the Alexandria database.

Geometry as extended XYZ:
```
4
Lattice="3.722 0.000 0.000 1.861 3.223 0.000 1.861 1.074 6.106" Properties=species:S:1:pos:R:3 pbc="T T T"
O 3.722 2.149 3.053
Pa 5.582 3.223 4.402
P 0.000 0.000 0.000
Pa 1.861 1.074 1.704
```

Output
Energy relative to the lowest polymorph listed for this composition   0.000 eV/atom
Raw total energy   -36.78 eV per cell
Total magnetization   0.11 μB per formula unit


No. 2
The following is a PBE calculation of an optimized crystal structure of PaPO6, from the Alexandria database.

Geometry as extended XYZ:
```
8
Lattice="4.281 0.511 0.023 -1.119 4.164 0.023 -0.548 -0.810 4.201" Properties=species:S:1:pos:R:3 pbc="T T T"
O 0.551 2.848 3.316
P 1.307 1.932 2.123
O 2.238 3.308 1.855
O 2.438 1.571 3.316
O 2.063 1.016 0.931
O 0.176 2.293 0.931
Pa 0.000 0.000 0.000
O 0.376 0.556 2.392
```

Output
Energy relative to the lowest polymorph listed for this composition   0.000 eV/atom
Raw total energy   -61.03 eV per cell
Total magnetization   0.00 μB per formula unit


No. 3
The following is a PBE calculation of an optimized crystal structure of PaPO4, from the Alexandria database.

Geometry as extended XYZ:
```
12
Lattice="-5.770 0.760 1.184 -1.495 -5.555 1.478 1.534 1.347 6.611" Properties=species:S:1:pos:R:3 pbc="T T T"
O -0.423 -0.445 5.090
O -1.698 -2.430 4.173
O -3.433 -3.712 1.888
P -1.591 -0.883 4.169
P -4.907 -3.239 1.798
O -2.923 -0.285 4.693
O -5.533 -3.200 3.216
O -1.333 -0.379 2.726
Pa -4.029 0.896 6.183
O -4.174 -2.873 7.514
O -3.409 -0.470 7.792
Pa -1.703 -4.345 3.090
```

Output
Raw total energy   -98.85 eV per cell
Total magnetization   1.25 μB per formula unit


No. 4
The following is a PBE calculation of an optimized crystal structure of PaPO, from the Alexandria database.

Geometry as extended XYZ:
```
3
Lattice="-1.727 -1.004 -3.789 -1.692 -3.886 -0.621 -4.243 -0.455 -0.366" Properties=species:S:1:pos:R:3 pbc="T T T"
P 0.000 0.000 0.000
Pa -1.916 -1.336 -1.194
O -3.831 -2.672 -2.388
```

Output
Energy relative to the lowest polymorph listed for this composition   0.617 eV/atom
Raw total energy   -24.79 eV per cell
Total magnetization   0.00 μB per formula unit


No. 5
The following is a PBE calculation of an optimized crystal structure of PaPO, from the Alexandria database.

Geometry as extended XYZ:
```
6
Lattice="-2.932 -2.229 0.976 1.393 -2.790 -2.188 3.533 -2.351 5.249" Properties=species:S:1:pos:R:3 pbc="T T T"
Pa 1.657 -5.634 3.266
O 0.312 -2.650 -1.397
Pa 0.338 -1.736 0.771
P 1.843 -2.737 3.007
O -1.851 -2.369 0.185
P 0.152 -4.633 1.030
```

Output
Energy relative to the lowest polymorph listed for this composition   0.000 eV/atom
Raw total energy   -53.28 eV per cell
Total magnetization   0.00 μB per formula unit


No. 6
The following is a PBE calculation of an optimized crystal structure of Pa3P2O3, from the Alexandria database.

Geometry as extended XYZ:
```
16
Lattice="5.024 0.000 0.000 0.000 7.798 0.000 0.000 -3.899 6.753" Properties=species:S:1:pos:R:3 pbc="T T T"
Pa 3.768 5.268 0.000
Pa 1.256 2.530 0.000
P 2.512 0.000 4.502
P 2.512 3.899 2.251
O 3.768 1.773 0.000
O 1.256 6.025 0.000
O 1.256 -3.013 5.218
P 0.000 3.899 2.251
O 1.256 0.886 1.535
O 3.768 -0.886 1.535
Pa 3.768 1.265 2.191
P 0.000 0.000 4.502
Pa 3.768 -2.634 4.562
Pa 1.256 -1.265 2.191
Pa 1.256 2.634 4.562
O 3.768 3.013 5.218
```

Output
Raw total energy   -144.10 eV per cell
Total magnetization   3.00 μB per formula unit


Question: Which of these has the highest total magnetization?
Answer: Pa3P2O3